## IrRh2Se (PBE)

Data for a geometry-optimized IrRh2Se structure.

Geometry as POSCAR:
```
IrRh2Se
1.0
5.391 -0.016 0.011
2.785 4.616 -0.011
-3.556 -3.246 2.426
Ir Rh Se
1 2 1
Cartesian
1.857 1.947 1.207 Ir
0.046 0.026 0.000 Rh
2.748 -0.601 1.219 Rh
4.057 2.283 0.000 Se
```

Results
Density of states at the Fermi level ... 1.35 states/eV per atom
Crystal system ... orthorhombic
Formation energy without anion corrections ... 211 meV/atom
ρ ... 13119 kg/m³